First-principles (GGA-PBE) data for a relaxed Pm2BOsC crystal, as listed in the Alexandria database.

The energy relative to the elements is -0.21 eV/atom. As for the energy: -7.541 eV/atom. As for the size of the total moment: 0.00 μB per atom.

Cell and atoms, written as CIF:
```
data_Pm2BOsC
_cell_length_a 5.961
_cell_length_b 3.855
_cell_length_c 8.686
_cell_angle_alpha 90.00
_cell_angle_beta 107.70
_cell_angle_gamma 90.00
_space_group_name_H-M_alt 'P 1 21/m 1'
_space_group_IT_number 11
loop_
_space_group_symop_operation_xyz
'x,y,z'
'-x,-y,-z'
'-x,y+1/2,-z'
'x,-y+1/2,z'
loop_
_atom_site_label
_atom_site_fract_x
_atom_site_fract_y
_atom_site_fract_z
_atom_site_occupancy
Pm1 0.188 0.250 0.373 1
Pm2 0.253 0.750 0.018 1
B1 0.378 0.750 0.694 1
Os1 0.283 0.250 0.727 1
C1 0.028 0.250 0.822 1
```